This record from Alexandria describes a geometry-optimized BaCrCoO4 structure. The functional is PBE with a Hubbard U.

Geometry as POSCAR:
```
BaCrCoO4
1.0
5.427 0.000 0.000
0.000 5.806 0.000
-1.757 0.000 6.780
Ba Cr Co O
2 2 2 8
direct
0.245 0.250 0.051 Ba
0.755 0.750 0.949 Ba
0.088 0.250 0.499 Cr
0.912 0.750 0.501 Cr
0.309 0.750 0.323 Co
0.691 0.250 0.677 Co
0.021 0.526 0.318 O
0.021 0.974 0.318 O
0.333 0.750 0.076 O
0.434 0.250 0.462 O
0.566 0.750 0.538 O
0.667 0.250 0.924 O
0.979 0.026 0.682 O
0.979 0.474 0.682 O
```

Summary:
Space-group type   P2_1/m (11)
Magnetic moment   7.00 μB per formula unit
Total energy   -6.603 eV per atom